Record 1
VASP calculation (GGA-PBE) on crystalline La3TiSi at its relaxed geometry.

Values from the calculation:
Crystal system = cubic
Formation energy from raw total energies = 0.431 eV per atom

Cell lengths 5.339, 5.339, 5.339 Å; angles 90.00, 90.00, 90.00 degrees
Positions (direct):
Si (0.500, 0.500, 0.500)
Ti (0.000, 0.000, 0.000)
La (0.000, 0.500, 0.000)
La (0.000, 0.000, 0.500)
La (0.500, 0.000, 0.000)

***

Record 2
VASP calculation (GGA-PBE) on crystalline LaTi2Si2 at its relaxed geometry.

Values from the calculation:
Crystal system = tetragonal
Formation energy from raw total energies = -0.417 eV per atom
ΔE to the lowest computed polymorph = 6 meV/atom

Cell lengths 7.909, 7.909, 2.887 Å; angles 90.00, 90.00, 90.00 degrees
Positions (direct):
Si (0.171, 0.671, 0.500)
Si (0.671, 0.829, 0.500)
Si (0.829, 0.329, 0.500)
Si (0.329, 0.171, 0.500)
Ti (0.380, 0.880, 0.000)
Ti (0.880, 0.620, 0.000)
Ti (0.620, 0.120, 0.000)
Ti (0.120, 0.380, 0.000)
La (0.000, 0.000, 0.000)
La (0.500, 0.500, 0.000)

***

Record 3
VASP calculation (GGA-PBE) on crystalline LaTi2Si2 at its relaxed geometry.

Values from the calculation:
Crystal system = tetragonal
Formation energy from raw total energies = -0.423 eV per atom
ΔE to the lowest computed polymorph = 0 meV/atom

Cell lengths 7.487, 7.487, 3.284 Å; angles 90.00, 90.00, 90.00 degrees
Positions (direct):
Si (0.383, 0.883, 0.000)
Si (0.883, 0.617, 0.000)
Si (0.617, 0.117, 0.000)
Si (0.117, 0.383, 0.000)
Ti (0.168, 0.668, 0.500)
Ti (0.668, 0.832, 0.500)
Ti (0.832, 0.332, 0.500)
Ti (0.332, 0.168, 0.500)
La (0.000, 0.000, 0.000)
La (0.500, 0.500, 0.000)